1.
Below is an optimized crystal structure of ScIn2Te, with properties calculated at the GGA-PBEsol level.

Geometry as POSCAR:
```
ScIn2Te
1.0
-0.762 3.641 0.168
-3.484 1.145 0.646
0.128 1.530 8.712
Sc In Te
1 2 1
Cartesian
-2.059 3.158 4.762
-1.038 1.579 2.336
-3.080 4.736 7.189
0.000 0.000 0.000
```

The calculation puts the total energy at -16.51 eV/f.u. The formation energy without anion corrections is -0.41 eV/f.u. The total magnetic moment is 0.0 μB/cell. The volume comes out at 25.75 Å³/atom.



2.
Below is an optimized crystal structure of ScIn2Te2, with properties calculated at the GGA-PBEsol level.

Geometry as POSCAR:
```
ScIn2Te2
1.0
-5.569 -0.548 1.631
3.135 -4.809 -1.329
1.149 2.926 4.909
In Te Sc
2 2 1
Cartesian
-1.913 0.028 3.892
0.628 -2.459 1.319
-2.322 -2.084 1.786
1.037 -0.347 3.425
0.000 0.000 0.000
```

The calculation puts the total energy at -20.46 eV/f.u. The formation energy without anion corrections is -0.84 eV/f.u. The total magnetic moment is 0.0 μB/cell. The volume comes out at 28.61 Å³/atom.